Record 1
DFT (PBE+U) results for crystalline Na2WF at its relaxed geometry.

CIF file:
```
data_Na2WF
_symmetry_space_group_name_H-M 'I -4 2 d'
_symmetry_Int_Tables_number 122
_symmetry_space_group_name_Hall 'I -4 2bw'
_cell_length_a 6.904
_cell_length_b 6.904
_cell_length_c 8.558
_cell_angle_alpha 90.00
_cell_angle_beta 90.00
_cell_angle_gamma 90.00
loop_
_atom_site_label
_atom_site_type_symbol
_atom_site_fract_x
_atom_site_fract_y
_atom_site_fract_z
Na1 Na 0.114 0.250 0.125
W1 W 0.000 0.000 0.500
F1 F 0.000 0.000 0.000
```

Properties
* polymorph energy (0 for the lowest one): 0.000 eV per atom
* M_tot: 20.47 μB/cell

Record 2
DFT (PBE+U) results for crystalline NaWF2 at its relaxed geometry.

CIF file:
```
data_NaWF2
_symmetry_space_group_name_H-M 'I -4 2 d'
_symmetry_Int_Tables_number 122
_symmetry_space_group_name_Hall 'I -4 2bw'
_cell_length_a 6.010
_cell_length_b 6.010
_cell_length_c 8.097
_cell_angle_alpha 90.00
_cell_angle_beta 90.00
_cell_angle_gamma 90.00
loop_
_atom_site_label
_atom_site_type_symbol
_atom_site_fract_x
_atom_site_fract_y
_atom_site_fract_z
Na1 Na 0.000 0.000 0.000
W1 W 0.000 0.000 0.500
F1 F 0.234 0.750 0.125
```

Properties
* polymorph energy (0 for the lowest one): 0.258 eV per atom
* M_tot: 17.10 μB/cell

Record 3
DFT (PBE+U) results for crystalline Na2WF at its relaxed geometry.

CIF file:
```
data_Na2WF
_symmetry_space_group_name_H-M 'F m -3 m'
_symmetry_Int_Tables_number 225
_symmetry_space_group_name_Hall '-F 4 2 3'
_cell_length_a 7.293
_cell_length_b 7.293
_cell_length_c 7.293
_cell_angle_alpha 90.00
_cell_angle_beta 90.00
_cell_angle_gamma 90.00
loop_
_atom_site_label
_atom_site_type_symbol
_atom_site_fract_x
_atom_site_fract_y
_atom_site_fract_z
Na1 Na 0.250 0.250 0.250
W1 W 0.000 0.000 0.000
F1 F 0.000 0.000 0.500
```

Properties
* polymorph energy (0 for the lowest one): 0.432 eV per atom
* M_tot: 20.00 μB/cell

Record 4
DFT (PBE+U) results for crystalline Na3WF at its relaxed geometry.

CIF file:
```
data_Na3WF
_symmetry_space_group_name_H-M 'P m -3 m'
_symmetry_Int_Tables_number 221
_symmetry_space_group_name_Hall '-P 4 2 3'
_cell_length_a 6.013
_cell_length_b 6.013
_cell_length_c 6.013
_cell_angle_alpha 90.00
_cell_angle_beta 90.00
_cell_angle_gamma 90.00
loop_
_atom_site_label
_atom_site_type_symbol
_atom_site_fract_x
_atom_site_fract_y
_atom_site_fract_z
Na1 Na 0.000 0.000 0.500
W1 W 0.000 0.000 0.000
F1 F 0.500 0.500 0.500
```

Properties
* polymorph energy (0 for the lowest one): 0.764 eV per atom
* M_tot: 6.00 μB/cell

Record 5
DFT (PBE+U) results for crystalline NaZnWF6 at its relaxed geometry.

CIF file:
```
data_NaZnWF6
_symmetry_space_group_name_H-M 'P -3 1 c'
_symmetry_Int_Tables_number 163
_symmetry_space_group_name_Hall '-P 3 2c'
_cell_length_a 5.5808
_cell_length_b 5.5808
_cell_length_c 9.6493
_cell_angle_alpha 90.00
_cell_angle_beta 90.00
_cell_angle_gamma 120.00
loop_
_atom_site_label
_atom_site_type_symbol
_atom_site_fract_x
_atom_site_fract_y
_atom_site_fract_z
Na1 Na 0.0000 0.0000 0.0000
Zn1 Zn 0.3333 0.6667 0.2500
W1 W 0.3333 0.6667 0.7500
F1 F 0.0062 0.3552 0.1392
```

Properties
* total energy: -4.8811 eV/atom
* M_tot: 6.00 μB/cell